# 1
{"formula": "Dy5Ho2Te2Pd2", "functional": "PBE", "state": "optimized geometry", "lattice": [[-1.970, 7.893, 4.808], [1.970, -7.893, 4.808], [1.970, 7.893, -4.808]], "species": ["Dy", "Dy", "Dy", "Dy", "Dy", "Ho", "Ho", "Te", "Te", "Pd", "Pd"], "fractional_positions": [[0.000, 0.000, 0.000], [0.092, 0.736, 0.356], [0.380, 0.736, 0.644], [0.454, 0.583, 0.872], [0.711, 0.583, 0.128], [0.058, 0.376, 0.682], [0.695, 0.376, 0.318], [0.336, 0.336, 0.000], [0.736, 0.236, 0.500], [0.308, 0.071, 0.238], [0.833, 0.071, 0.762]], "vol_a3_per_cell": 299.1, "sg": "No. 44", "dft_energy_ev_per_atom": -5.287}

---

# 2
{"formula": "Dy3Ho4Te2Pd2", "functional": "PBE", "state": "optimized geometry", "lattice": [[-1.969, 7.866, 4.813], [1.969, -7.866, 4.813], [1.969, 7.866, -4.813]], "species": ["Dy", "Dy", "Dy", "Ho", "Ho", "Ho", "Ho", "Te", "Te", "Pd", "Pd"], "fractional_positions": [[0.000, 0.000, 0.000], [0.454, 0.583, 0.871], [0.712, 0.583, 0.129], [0.058, 0.376, 0.682], [0.091, 0.735, 0.356], [0.380, 0.735, 0.644], [0.694, 0.376, 0.318], [0.335, 0.335, 0.000], [0.736, 0.236, 0.500], [0.308, 0.071, 0.237], [0.834, 0.071, 0.763]], "vol_a3_per_cell": 298.1, "sg": "No. 44", "dft_energy_ev_per_atom": -5.282}